Entry from Alexandria via LeMat-Bulk: Ba2AgHg2 after structural relaxation (PBE-GGA).

Geometry as POSCAR:
```
Ba2AgHg2
1.0
6.635 0.000 0.000
0.000 6.635 0.000
3.317 3.317 4.354
Ag Ba Hg
1 2 2
Direct
0.000 0.000 0.000
0.750 0.250 0.500
0.250 0.750 0.500
0.661 0.661 0.678
0.339 0.339 0.322
```

Space group ... I4/mmm (139)
Formation energy ... -109 kJ/mol of formula units
Calculated total energy ... -1.69 eV/atom